VASP calculation (PBE) on Mg3InNi2 after structural relaxation.

Cell lengths 6.8481, 6.8481, 3.5119 Å; angles 90.00, 90.00, 142.29 degrees
Sites, in units of the cell vectors:
Mg: 0.0000 0.0000 0.0000
Mg: 0.1823 0.8177 0.5000
Mg: 0.8177 0.1823 0.5000
In: 0.5000 0.5000 0.5000
Ni: 0.3412 0.6588 0.0000
Ni: 0.6588 0.3412 0.0000

***

VASP calculation (PBE) on Mg2InNi2 after structural relaxation.

Cell lengths 7.4847, 7.4847, 2.8969 Å; angles 90.00, 90.00, 90.00 degrees
Sites, in units of the cell vectors:
Mg: 0.1321 0.3679 0.0000
Mg: 0.3679 0.8679 0.0000
Mg: 0.6321 0.1321 0.0000
Mg: 0.8679 0.6321 0.0000
In: 0.0000 0.0000 0.0000
In: 0.5000 0.5000 0.0000
Ni: 0.1630 0.6630 0.5000
Ni: 0.3370 0.1630 0.5000
Ni: 0.6630 0.8370 0.5000
Ni: 0.8370 0.3370 0.5000

***

VASP calculation (PBE) on Mg2InNi2 after structural relaxation.

Cell lengths 6.3732, 6.3732, 6.3732 Å; angles 144.37, 144.37, 51.28 degrees
Sites, in units of the cell vectors:
Mg: 0.2500 0.7500 0.5000
Mg: 0.7500 0.2500 0.5000
In: 0.0000 0.0000 0.0000
Ni: 0.4014 0.4014 0.0000
Ni: 0.5986 0.5986 0.0000

***

VASP calculation (PBE) on MgIn2Ni2 after structural relaxation.

Cell lengths 4.3547, 4.3818, 9.3299 Å; angles 90.00, 90.00, 90.00 degrees
Sites, in units of the cell vectors:
Mg: 0.2500 0.2500 0.1703
Mg: 0.7500 0.7500 0.8297
In: 0.2500 0.2500 0.4973
In: 0.2500 0.2500 0.8318
In: 0.7500 0.7500 0.1682
In: 0.7500 0.7500 0.5027
Ni: 0.2500 0.7500 0.0117
Ni: 0.2500 0.7500 0.3290
Ni: 0.7500 0.2500 0.6710
Ni: 0.7500 0.2500 0.9883

***

VASP calculation (PBE) on MgInNi after structural relaxation.

Cell lengths 8.5794, 4.3569, 6.2014 Å; angles 90.00, 90.00, 90.00 degrees
Sites, in units of the cell vectors:
Mg: 0.1190 0.2500 0.2259
Mg: 0.3810 0.7500 0.7259
Mg: 0.6190 0.2500 0.2741
Mg: 0.8810 0.7500 0.7741
In: 0.1509 0.2500 0.7297
In: 0.3491 0.7500 0.2297
In: 0.6509 0.2500 0.7703
In: 0.8491 0.7500 0.2703
Ni: 0.1068 0.7500 0.4872
Ni: 0.3932 0.2500 0.9872
Ni: 0.6068 0.7500 0.0128
Ni: 0.8932 0.2500 0.5128

***

VASP calculation (PBE) on Mg3In2Ni2 after structural relaxation.

Cell lengths 4.5705, 4.5705, 7.5221 Å; angles 107.79, 107.79, 59.33 degrees
Sites, in units of the cell vectors:
Mg: 0.0000 0.0000 0.0000
Mg: 0.1366 0.1366 0.4118
Mg: 0.8634 0.8634 0.5882
In: 0.3988 0.3988 0.2024
In: 0.6012 0.6012 0.7976
Ni: 0.2676 0.2676 0.7914
Ni: 0.7323 0.7323 0.2086

***

VASP calculation (PBE) on MgInNi after structural relaxation.

Cell lengths 10.1266, 9.3996, 5.2407 Å; angles 82.26, 66.89, 30.85 degrees
Sites, in units of the cell vectors:
Mg: 0.0355 0.7145 0.0355
Mg: 0.2855 0.9645 0.2855
Mg: 0.7145 0.0355 0.7145
Mg: 0.9645 0.2855 0.9645
In: 0.2901 0.2901 0.4599
In: 0.4599 0.4599 0.2901
In: 0.5401 0.5401 0.7099
In: 0.7099 0.7099 0.5401
Ni: 0.0031 0.0031 0.7469
Ni: 0.2531 0.2531 0.9969
Ni: 0.7469 0.7469 0.0031
Ni: 0.9969 0.9969 0.2531

***

VASP calculation (PBE) on Mg4In8Ni3 after structural relaxation.

Cell lengths 4.4149, 4.4149, 16.4117 Å; angles 90.00, 90.00, 90.00 degrees
Sites, in units of the cell vectors:
Mg: 0.0000 0.5000 0.0985
Mg: 0.0000 0.5000 0.5992
Mg: 0.5000 0.0000 0.4008
Mg: 0.5000 0.0000 0.9015
In: 0.0000 0.0000 0.2498
In: 0.0000 0.0000 0.7502
In: 0.0000 0.5000 0.4095
In: 0.0000 0.5000 0.9158
In: 0.5000 0.0000 0.0842
In: 0.5000 0.0000 0.5905
In: 0.5000 0.5000 0.2452
In: 0.5000 0.5000 0.7548
Ni: 0.0000 0.0000 0.0000
Ni: 0.0000 0.0000 0.5000
Ni: 0.5000 0.5000 0.5000

***

Energy of formation for every record listed, in sequence, given in eV per atom: -0.079 -0.004 0.083 -0.160 -0.175 -0.170 -0.213 -0.087.